Entry 1:
This record from Alexandria describes a geometry-optimized Y3Er5Sc2 structure. The functional is PBE.

Output
- energy (eV/atom) = -5.29

Geometry as POSCAR:
```
Y3Er5Sc2
1.0
-4.099 -0.757 8.157
1.049 -8.295 -3.776
8.533 3.838 1.267
Er Sc Y
10 4 6
direct
0.031 0.281 0.562
0.228 0.478 0.956
0.347 0.108 0.713
0.467 0.217 0.434
0.533 0.783 0.566
0.969 0.719 0.438
0.865 0.604 0.713
0.653 0.892 0.287
0.135 0.396 0.287
0.772 0.522 0.044
0.264 0.716 0.727
0.963 0.012 0.727
0.736 0.284 0.273
0.037 0.988 0.273
0.766 0.221 0.742
0.736 0.986 0.971
0.525 0.479 0.258
0.234 0.779 0.258
0.475 0.521 0.742
0.264 0.014 0.029
```

Entry 2:
This record from Alexandria describes a geometry-optimized Sm4CoIrCl2 structure. The functional is PBE.

Output
- energy relative to the elements, uncorrected (eV/atom) = -1.016

Geometry as POSCAR:
```
Sm4CoIrCl2
1.0
3.996 0.000 0.000
0.000 6.925 0.125
0.000 -2.413 7.434
Ir Co Sm Cl
1 1 4 2
direct
0.000 0.000 0.000
0.500 0.500 0.000
0.000 0.724 0.199
0.500 0.759 0.796
0.000 0.276 0.801
0.500 0.241 0.204
0.000 0.500 0.500
0.500 0.000 0.500
```

Entry 3:
This record from Alexandria describes a geometry-optimized K3PrU3Se8 structure. The functional is PBE.

Output
- energy relative to the elements, uncorrected (eV/atom) = -1.339

Geometry as POSCAR:
```
K3PrU3Se8
1.0
8.499 0.002 -0.008
-4.248 7.359 -0.027
-0.007 -4.883 7.806
Se K U Pr
8 3 3 1
direct
0.266 0.529 0.293
0.759 0.033 0.294
0.241 0.481 0.706
0.241 0.967 0.706
0.276 0.036 0.295
0.759 0.519 0.294
0.734 0.471 0.707
0.724 0.964 0.705
0.000 0.500 0.000
0.500 0.500 0.000
0.000 0.000 0.000
0.000 0.500 0.500
0.500 0.500 0.500
0.500 0.000 0.500
0.000 0.000 0.500
```

Entry 4:
This record from Alexandria describes a geometry-optimized MgZr2Cl structure. The functional is PBE.

Output
- excess energy over the best structure of this formula in the dataset (eV/atom) = 0.3640
- energy relative to the elements, uncorrected (eV/atom) = -0.124

Geometry as POSCAR:
```
MgZr2Cl
1.0
-4.816 1.228 1.568
-0.748 -3.080 0.113
1.680 0.081 5.096
Zr Cl Mg
2 1 1
direct
0.000 0.429 0.520
0.000 0.071 0.980
0.500 0.250 0.250
0.500 0.750 0.750
```

Entry 5:
This record from Alexandria describes a geometry-optimized Ag4SF2 structure. The functional is PBE.

Output
- excess energy over the best structure of this formula in the dataset (eV/atom) = 0.0000
- energy relative to the elements, uncorrected (eV/atom) = -0.564

Geometry as POSCAR:
```
Ag4SF2
1.0
7.405 0.000 -0.182
0.000 6.171 0.000
-2.655 0.000 5.732
Ag F S
8 4 2
direct
0.137 0.750 0.869
0.606 0.009 0.340
0.863 0.250 0.131
0.606 0.491 0.340
0.941 0.750 0.159
0.394 0.509 0.660
0.394 0.991 0.660
0.059 0.250 0.841
0.606 0.750 0.022
0.901 0.750 0.514
0.099 0.250 0.486
0.394 0.250 0.978
0.697 0.250 0.704
0.303 0.750 0.296
```

Entry 6:
This record from Alexandria describes a geometry-optimized PrNd2Ag5 structure. The functional is PBE.

Output
- energy (eV/atom) = -3.77

Geometry as POSCAR:
```
PrNd2Ag5
1.0
5.206 0.000 0.000
0.000 5.206 0.000
-2.603 -2.603 7.308
Nd Ag Pr
2 5 1
direct
0.730 0.730 0.460
0.270 0.270 0.540
0.118 0.618 0.236
0.618 0.118 0.236
0.382 0.882 0.764
0.500 0.500 0.000
0.882 0.382 0.764
0.000 0.000 0.000
```

Entry 7:
This record from Alexandria describes a geometry-optimized Eu3Hg structure. The functional is PBE.

Output
- excess energy over the best structure of this formula in the dataset (eV/atom) = 0.0987

Geometry as POSCAR:
```
Eu3Hg
1.0
5.041 0.000 0.000
0.000 5.041 0.000
-2.520 -2.520 5.288
Eu Hg
3 1
direct
0.750 0.250 0.500
0.500 0.500 0.000
0.250 0.750 0.500
0.000 0.000 0.000
```

Entry 8:
This record from Alexandria describes a geometry-optimized ZrZn2Hg structure. The functional is PBE.

Output
- energy (eV/atom) = -2.87

Geometry as POSCAR:
```
ZrZn2Hg
1.0
-1.136 -0.313 -4.711
-2.404 -2.773 -3.180
-4.841 2.389 -0.172
Zn Hg Zr
2 1 1
direct
0.008 0.008 0.984
0.741 0.741 0.773
0.257 0.257 0.225
0.494 0.494 0.518
```

Entry 9:
This record from Alexandria describes a geometry-optimized TbPmSiI structure. The functional is PBE.

Output
- energy relative to the elements, uncorrected (eV/atom) = -0.910

Geometry as POSCAR:
```
TbPmSiI
1.0
4.222 0.000 0.000
-2.110 3.657 0.000
-2.110 -1.219 7.693
Pm Tb I Si
1 1 1 1
direct
0.506 0.151 0.672
0.100 0.948 0.063
0.963 0.379 0.357
0.309 0.553 0.877
```

Entry 10:
This record from Alexandria describes a geometry-optimized Hf8TlSn2 structure. The functional is PBE.

Output
- energy (eV/atom) = -8.19

Geometry as POSCAR:
```
Hf8TlSn2
1.0
-3.976 -1.977 3.780
-0.374 -6.831 -4.237
3.682 -7.154 -0.140
Hf Sn Tl
8 2 1
direct
0.371 0.352 0.829
0.893 0.586 0.586
0.629 0.171 0.648
0.871 0.216 0.216
0.129 0.784 0.784
0.107 0.414 0.414
0.629 0.648 0.171
0.371 0.829 0.352
0.633 0.741 0.741
0.367 0.259 0.259
0.000 0.000 0.000
```

Entry 11:
This record from Alexandria describes a geometry-optimized Cd2In2Pd7 structure. The functional is PBE.

Output
- energy (eV/atom) = -4.04

Geometry as POSCAR:
```
Cd2In2Pd7
1.0
-5.160 0.439 2.881
-3.158 -0.740 -5.544
0.962 -5.843 0.232
Pd In Cd
7 2 2
direct
0.000 0.000 0.000
0.000 0.282 0.500
0.500 0.282 0.000
0.500 0.289 0.500
0.500 0.718 0.000
0.500 0.711 0.500
0.000 0.718 0.500
0.294 0.000 0.706
0.706 0.000 0.294
0.182 0.500 0.182
0.818 0.500 0.818
```

Entry 12:
This record from Alexandria describes a geometry-optimized Ba2AgMo structure. The functional is PBE.

Output
- excess energy over the best structure of this formula in the dataset (eV/atom) = 0.0345

Geometry as POSCAR:
```
Ba2AgMo
1.0
-1.492 -4.631 -0.404
4.563 -1.456 -0.151
2.311 -1.279 6.121
Ba Ag Mo
2 1 1
direct
0.000 0.981 0.912
0.500 0.271 0.334
0.500 0.567 0.742
0.000 0.682 0.512
```

Entry 13:
This record from Alexandria describes a geometry-optimized PaTcSnW structure. The functional is PBE.

Output
- energy (eV/atom) = -9.04

Geometry as POSCAR:
```
PaTcSnW
1.0
-0.021 3.944 2.695
-2.256 0.003 4.210
2.516 0.133 4.058
Tc Sn W Pa
1 1 1 1
direct
0.500 0.500 0.500
0.250 0.250 0.250
0.000 0.000 0.000
0.750 0.750 0.750
```

Entry 14:
This record from Alexandria describes a geometry-optimized Dy2IrRu structure. The functional is PBE.

Output
- energy (eV/atom) = -7.43

Geometry as POSCAR:
```
Dy2IrRu
1.0
3.404 0.000 0.000
0.000 4.832 0.000
0.000 0.000 9.638
Ru Dy Ir
2 4 2
direct
0.500 0.750 0.625
0.500 0.250 0.375
0.000 0.750 0.872
0.000 0.250 0.622
0.000 0.250 0.128
0.000 0.750 0.378
0.500 0.750 0.125
0.500 0.250 0.875
```

Entry 15:
This record from Alexandria describes a geometry-optimized HfAg2Au8 structure. The functional is PBE.

Output
- energy (eV/atom) = -3.87

Geometry as POSCAR:
```
HfAg2Au8
1.0
-2.804 -1.027 4.382
-5.115 -0.197 -3.439
4.840 -5.807 -1.412
Au Ag Hf
8 2 1
direct
0.997 0.096 0.775
0.730 0.403 0.000
0.003 0.904 0.225
0.717 0.217 0.434
0.778 0.680 0.775
0.270 0.597 0.000
0.283 0.783 0.566
0.222 0.320 0.225
0.306 0.306 0.612
0.694 0.694 0.388
0.500 0.000 0.000
```

Entry 16:
This record from Alexandria describes a geometry-optimized Ti2TcAgAu structure. The functional is PBE.

Output
- energy (eV/atom) = -5.79

Geometry as POSCAR:
```
Ti2TcAgAu
1.0
-1.315 -2.597 3.510
3.997 -3.062 -0.768
2.502 2.556 2.829
Ti Tc Ag Au
2 1 1 1
direct
0.000 0.000 0.500
0.500 0.000 0.000
0.000 0.000 0.000
0.000 0.500 0.000
0.500 0.500 0.500
```

Entry 17:
This record from Alexandria describes a geometry-optimized Cu23Ge6 structure. The functional is PBE.

Output
- energy (eV/atom) = -4.10

Geometry as POSCAR:
```
Cu23Ge6
1.0
-5.002 -4.512 4.691
-2.226 -7.520 -2.425
2.899 -6.603 3.922
Cu Ge
23 6
direct
0.873 0.873 0.873
0.380 0.873 0.873
0.500 0.500 0.500
0.620 0.127 0.127
0.370 0.370 0.889
0.000 0.000 0.500
0.873 0.873 0.380
0.873 0.380 0.873
0.127 0.127 0.127
0.111 0.630 0.630
0.500 0.000 0.000
0.127 0.620 0.127
0.630 0.111 0.630
0.000 0.500 0.000
0.370 0.889 0.370
0.889 0.370 0.370
0.630 0.630 0.630
0.630 0.630 0.111
0.000 0.500 0.500
0.500 0.500 0.000
0.500 0.000 0.500
0.127 0.127 0.620
0.370 0.370 0.370
0.251 0.749 0.749
0.251 0.749 0.251
0.749 0.749 0.251
0.749 0.251 0.251
0.251 0.251 0.749
0.749 0.251 0.749
```

Entry 18:
This record from Alexandria describes a geometry-optimized Sr2Al3Ag structure. The functional is PBE.

Output
- energy (eV/atom) = -3.17

Geometry as POSCAR:
```
Sr2Al3Ag
1.0
-0.219 -3.707 -2.957
5.480 -2.119 -1.560
0.024 -5.448 3.017
Al Sr Ag
3 2 1
direct
0.838 0.232 0.093
0.835 0.597 0.733
0.161 0.778 0.899
0.450 0.798 0.303
0.551 0.202 0.696
0.165 0.393 0.277
```

Entry 19:
This record from Alexandria describes a geometry-optimized Pm5Dy2Er structure. The functional is PBE.

Output
- excess energy over the best structure of this formula in the dataset (eV/atom) = 0.0000

Geometry as POSCAR:
```
Pm5Dy2Er
1.0
5.094 0.000 0.000
0.000 7.210 0.000
0.000 0.000 14.429
Pm Dy Er
10 4 2
direct
0.500 0.251 0.876
0.500 0.749 0.124
0.500 0.249 0.376
0.000 0.500 0.751
0.000 0.000 0.749
0.000 0.000 0.000
0.000 0.000 0.251
0.000 0.500 0.500
0.000 0.500 0.249
0.500 0.751 0.624
0.500 0.750 0.376
0.500 0.250 0.624
0.500 0.750 0.876
0.500 0.250 0.124
0.000 0.500 0.000
0.000 0.000 0.500
```

Entry 20:
This record from Alexandria describes a geometry-optimized Ca3Bi8Pd4 structure. The functional is PBE.

Output
- energy (eV/atom) = -4.38

Geometry as POSCAR:
```
Ca3Bi8Pd4
1.0
-2.112 -2.858 2.331
5.018 -8.088 -5.370
12.646 0.131 11.619
Bi Ca Pd
16 6 8
direct
0.000 0.607 0.858
0.000 0.889 0.786
0.000 0.196 0.415
0.500 0.130 0.039
0.500 0.870 0.961
0.000 0.611 0.286
0.000 0.393 0.142
0.000 0.696 0.085
0.000 0.893 0.358
0.000 0.107 0.642
0.000 0.804 0.585
0.500 0.630 0.461
0.000 0.111 0.214
0.000 0.389 0.714
0.500 0.370 0.539
0.000 0.304 0.915
0.500 0.858 0.199
0.500 0.358 0.301
0.500 0.000 0.500
0.500 0.500 0.000
0.500 0.142 0.801
0.500 0.642 0.699
0.500 0.930 0.675
0.500 0.430 0.825
0.500 0.070 0.325
0.000 0.954 0.079
0.000 0.046 0.921
0.000 0.454 0.421
0.000 0.546 0.579
0.500 0.570 0.175
```